1.
This record from the Alexandria database describes an optimized crystal structure of Li2RhO4. The functional is PBE-GGA.

a b c (Å): 3.945 3.945 10.243
angles (deg): 90.00 90.00 90.00
Space group I4/mmm (No. 139)
One atom of each set of equivalent atoms:
Li 0.000 0.000 0.134 (multiplicity 4)
Rh 0.000 0.000 0.500 (multiplicity 2)
O 0.000 0.000 0.318 (multiplicity 4)
O 0.000 0.500 0.000 (multiplicity 4)

Values from the calculation:
Calculated total energy   -5.2823 eV per atom
E_form (uncorrected)   -852 meV per atom
Volume   79.7 Å³/f.u.
Crystal system   tetragonal


2.
This record from the Alexandria database describes an optimized crystal structure of Li3RhO. The functional is PBE-GGA.

a b c (Å): 4.641 4.641 4.641
angles (deg): 90.00 90.00 90.00
Space group Pm-3m (No. 221)
One atom of each set of equivalent atoms:
Li 0.000 0.000 0.500 (multiplicity 3)
Rh 0.000 0.000 0.000 (multiplicity 1)
O 0.500 0.500 0.500 (multiplicity 1)

Values from the calculation:
Distance to the lowest polymorph of the same formula   1190 meV/atom
Calculated total energy   -3.0444 eV per atom
E_form (uncorrected)   566 meV per atom
Volume   99.9 Å³/f.u.
Crystal system   cubic


3.
This record from the Alexandria database describes an optimized crystal structure of Li2RhO3. The functional is PBE-GGA.

a b c (Å): 5.942 8.463 17.798
angles (deg): 90.00 90.00 90.00
Space group Fddd (No. 70, origin choice 2)
One atom of each set of equivalent atoms:
Li 0.125 0.125 0.045 (multiplicity 16)
Li 0.125 0.125 0.373 (multiplicity 16)
Rh 0.125 0.125 0.542 (multiplicity 16)
O 0.111 0.375 0.875 (multiplicity 16)
O 0.119 0.365 0.712 (multiplicity 32)

Values from the calculation:
Distance to the lowest polymorph of the same formula   1 meV/atom
Calculated total energy   -5.7460 eV per atom
E_form (uncorrected)   -1404 meV per atom
Volume   55.9 Å³/f.u.
Crystal system   orthorhombic


4.
This record from the Alexandria database describes an optimized crystal structure of LiRh3O. The functional is PBE-GGA.

a b c (Å): 4.087 4.087 4.087
angles (deg): 90.00 90.00 90.00
Space group Pm-3m (No. 221)
One atom of each set of equivalent atoms:
Li 0.000 0.000 0.000 (multiplicity 1)
Rh 0.000 0.500 0.500 (multiplicity 3)
O 0.500 0.500 0.500 (multiplicity 1)

Values from the calculation:
Distance to the lowest polymorph of the same formula   0 meV/atom
Calculated total energy   -5.7544 eV per atom
E_form (uncorrected)   31 meV per atom
Volume   68.3 Å³/f.u.
Crystal system   cubic


The highest E_form (uncorrected) belongs to which entry? Li3RhO